(1)
# TlIn6Te8 PBE-GGA relaxed
data_TlIn6Te8
_chemical_formula_sum 'Tl1 In6 Te8'
_cell_length_a 8.191
_cell_length_b 8.191
_cell_length_c 8.191
_cell_angle_alpha 95.45
_cell_angle_beta 95.45
_cell_angle_gamma 95.45
_symmetry_space_group_name_H-M 'P 1'
_symmetry_Int_Tables_number 1
_symmetry_space_group_name_Hall 'P 1'
loop_
_atom_site_label
_atom_site_type_symbol
_atom_site_fract_x
_atom_site_fract_y
_atom_site_fract_z
Tl1 Tl 0.000 0.000 0.000
In1 In 0.171 0.636 0.321
In2 In 0.321 0.171 0.636
In3 In 0.364 0.679 0.829
In4 In 0.636 0.321 0.171
In5 In 0.679 0.829 0.364
In6 In 0.829 0.364 0.679
Te1 Te 0.130 0.846 0.627
Te2 Te 0.154 0.373 0.870
Te3 Te 0.327 0.327 0.327
Te4 Te 0.373 0.870 0.154
Te5 Te 0.627 0.130 0.846
Te6 Te 0.673 0.673 0.673
Te7 Te 0.846 0.627 0.130
Te8 Te 0.870 0.154 0.373
# Polymorph energy (0 for the lowest one) in eV/f.u.: 0.00
# Spin magnetization in μB per atom: 0.0000
# Energy relative to the elements, uncorrected in eV per atom: -0.232
# Uncorrected energy in eV per cell: -47.41

---

(2)
# LiSi2Os PBE-GGA relaxed
data_LiSi2Os
_chemical_formula_sum 'Li1 Si2 Os1'
_cell_length_a 8.206
_cell_length_b 8.206
_cell_length_c 8.206
_cell_angle_alpha 20.79
_cell_angle_beta 20.79
_cell_angle_gamma 20.79
_symmetry_space_group_name_H-M 'P 1'
_symmetry_Int_Tables_number 1
_symmetry_space_group_name_Hall 'P 1'
loop_
_atom_site_label
_atom_site_type_symbol
_atom_site_fract_x
_atom_site_fract_y
_atom_site_fract_z
Li1 Li 0.000 0.000 0.000
Si1 Si 0.241 0.241 0.241
Si2 Si 0.759 0.759 0.759
Os1 Os 0.500 0.500 0.500
# Polymorph energy (0 for the lowest one) in eV/f.u.: 0.64
# Spin magnetization in μB per atom: 0.0000
# Energy relative to the elements, uncorrected in eV per atom: -0.097
# Uncorrected energy in eV per cell: -24.38

---

(3)
# La2CoAg PBE-GGA relaxed
data_La2CoAg
_chemical_formula_sum 'La2 Co1 Ag1'
_cell_length_a 3.650
_cell_length_b 3.650
_cell_length_c 7.184
_cell_angle_alpha 90.00
_cell_angle_beta 90.00
_cell_angle_gamma 90.00
_symmetry_space_group_name_H-M 'P 1'
_symmetry_Int_Tables_number 1
_symmetry_space_group_name_Hall 'P 1'
loop_
_atom_site_label
_atom_site_type_symbol
_atom_site_fract_x
_atom_site_fract_y
_atom_site_fract_z
La1 La 0.000 0.000 0.000
La2 La 0.500 0.500 0.342
Co1 Co 0.500 0.500 0.784
Ag1 Ag 0.000 0.000 0.590
# Formation energy from the elements in kJ per mole of atoms: 14.8
# Spin magnetization in μB per atom: 0.2514
# Uncorrected energy in eV per cell: -19.20

---

(4)
# YTmTeO2 PBE-GGA relaxed
data_YTmTeO2
_chemical_formula_sum 'Y2 Tm2 Te2 O4'
_cell_length_a 6.760
_cell_length_b 4.060
_cell_length_c 7.695
_cell_angle_alpha 90.00
_cell_angle_beta 106.73
_cell_angle_gamma 90.00
_symmetry_space_group_name_H-M 'P 1'
_symmetry_Int_Tables_number 1
_symmetry_space_group_name_Hall 'P 1'
loop_
_atom_site_label
_atom_site_type_symbol
_atom_site_fract_x
_atom_site_fract_y
_atom_site_fract_z
Y1 Y 0.171 0.250 0.423
Y2 Y 0.829 0.750 0.577
Tm1 Tm 0.158 0.250 0.911
Tm2 Tm 0.842 0.750 0.089
Te1 Te 0.453 0.750 0.744
Te2 Te 0.547 0.250 0.256
O1 O 0.010 0.750 0.882
O2 O 0.020 0.750 0.375
O3 O 0.980 0.250 0.625
O4 O 0.990 0.250 0.118
# Spin magnetization in μB per atom: 0.0000
# Energy relative to the elements, uncorrected in eV per atom: -2.975
# Uncorrected energy in eV per cell: -77.74

---

(5)
# ReSb2RhCl PBE-GGA relaxed
data_ReSb2RhCl
_chemical_formula_sum 'Re1 Sb2 Rh1 Cl1'
_cell_length_a 5.169
_cell_length_b 5.169
_cell_length_c 4.303
_cell_angle_alpha 90.00
_cell_angle_beta 90.00
_cell_angle_gamma 90.00
_symmetry_space_group_name_H-M 'P 1'
_symmetry_Int_Tables_number 1
_symmetry_space_group_name_Hall 'P 1'
loop_
_atom_site_label
_atom_site_type_symbol
_atom_site_fract_x
_atom_site_fract_y
_atom_site_fract_z
Re1 Re 0.000 0.000 0.000
Sb1 Sb 0.000 0.500 0.500
Sb2 Sb 0.500 0.000 0.500
Rh1 Rh 0.500 0.500 0.000
Cl1 Cl 0.500 0.500 0.500
# Spin magnetization in μB per atom: 0.5372
# Energy relative to the elements, uncorrected in eV per atom: 1.523
# Uncorrected energy in eV per cell: -22.27

---

(6)
# NdSmY3Th PBE-GGA relaxed
data_NdSmY3Th
_chemical_formula_sum 'Nd2 Sm2 Y6 Th2'
_cell_length_a 8.040
_cell_length_b 5.101
_cell_length_c 10.205
_cell_angle_alpha 90.00
_cell_angle_beta 108.37
_cell_angle_gamma 90.00
_symmetry_space_group_name_H-M 'P 1'
_symmetry_Int_Tables_number 1
_symmetry_space_group_name_Hall 'P 1'
loop_
_atom_site_label
_atom_site_type_symbol
_atom_site_fract_x
_atom_site_fract_y
_atom_site_fract_z
Nd1 Nd 0.175 0.250 0.294
Nd2 Nd 0.825 0.750 0.706
Sm1 Sm 0.500 0.250 0.130
Sm2 Sm 0.500 0.750 0.870
Y1 Y 0.169 0.750 0.044
Y2 Y 0.171 0.250 0.791
Y3 Y 0.175 0.750 0.543
Y4 Y 0.825 0.250 0.457
Y5 Y 0.829 0.750 0.209
Y6 Y 0.831 0.250 0.956
Th1 Th 0.499 0.750 0.378
Th2 Th 0.501 0.250 0.622
# Formation energy from the elements in kJ per mole of atoms: 3.0
# Spin magnetization in μB per atom: 0.0000
# Uncorrected energy in eV per cell: -72.23

---

(7)
# LaEuNi4 PBE-GGA relaxed
data_LaEuNi4
_chemical_formula_sum 'La1 Eu1 Ni4'
_cell_length_a 5.176
_cell_length_b 5.176
_cell_length_c 5.176
_cell_angle_alpha 60.00
_cell_angle_beta 60.00
_cell_angle_gamma 60.00
_symmetry_space_group_name_H-M 'P 1'
_symmetry_Int_Tables_number 1
_symmetry_space_group_name_Hall 'P 1'
loop_
_atom_site_label
_atom_site_type_symbol
_atom_site_fract_x
_atom_site_fract_y
_atom_site_fract_z
La1 La 0.000 0.000 0.000
Eu1 Eu 0.250 0.250 0.250
Ni1 Ni 0.126 0.625 0.625
Ni2 Ni 0.625 0.126 0.625
Ni3 Ni 0.625 0.625 0.126
Ni4 Ni 0.625 0.625 0.625
# Formation energy from the elements in kJ per mole of atoms: -26.0
# Spin magnetization in μB per atom: 1.1761
# Uncorrected energy in eV per cell: -39.94

---

(8)
# LiMg2SnO4 PBE-GGA relaxed
data_LiMg2SnO4
_chemical_formula_sum 'Li1 Mg2 Sn1 O4'
_cell_length_a 5.369
_cell_length_b 5.369
_cell_length_c 5.369
_cell_angle_alpha 130.82
_cell_angle_beta 130.82
_cell_angle_gamma 72.10
_symmetry_space_group_name_H-M 'P 1'
_symmetry_Int_Tables_number 1
_symmetry_space_group_name_Hall 'P 1'
loop_
_atom_site_label
_atom_site_type_symbol
_atom_site_fract_x
_atom_site_fract_y
_atom_site_fract_z
Li1 Li 0.000 0.000 0.000
Mg1 Mg 0.500 0.500 0.000
Mg2 Mg 0.750 0.250 0.500
Sn1 Sn 0.250 0.750 0.500
O1 O 0.260 0.260 0.000
O2 O 0.510 0.010 0.500
O3 O 0.740 0.740 0.000
O4 O 0.990 0.490 0.500
# Spin magnetization in μB per atom: 0.0000
# Energy relative to the elements, uncorrected in eV per atom: -2.041
# Uncorrected energy in eV per cell: -45.26